[1]
{
  "formula": "Zr2Ga2Ag",
  "functional": "PBEsol",
  "state": "optimized geometry",
  "e_tot_ev_per_atom": -6.1506,
  "space_group": "P4/mbm, No. 127",
  "formation_enthalpy_0k_ev_per_atom": -0.517,
  "lattice": [[-3.391, 1.960, -1.162], [-0.722, -4.251, -5.063], [-3.638, -3.997, 3.875]],
  "species": ["Ga", "Ga", "Ga", "Ga", "Zr", "Zr", "Zr", "Zr", "Ag", "Ag"],
  "fractional_positions": [[0.000, 0.367, 0.867], [0.000, 0.867, 0.633], [0.000, 0.633, 0.133], [0.000, 0.133, 0.367], [0.500, 0.168, 0.668], [0.500, 0.668, 0.832], [0.500, 0.832, 0.332], [0.500, 0.332, 0.168], [0.000, 0.000, 0.000], [0.000, 0.500, 0.500]]
}



[2]
{
  "formula": "GdAgGe",
  "functional": "PBEsol",
  "state": "optimized geometry",
  "e_tot_ev_per_atom": -8.2641,
  "space_group": "P-62m, No. 189",
  "formation_enthalpy_0k_ev_per_atom": -0.698,
  "lattice": [[4.207, 0.000, 0.000], [0.000, 7.077, 0.000], [0.000, -3.538, 6.129]],
  "species": ["Gd", "Gd", "Gd", "Ag", "Ag", "Ag", "Ge", "Ge", "Ge"],
  "fractional_positions": [[0.000, 0.000, 0.417], [0.000, 0.417, 0.000], [0.000, 0.583, 0.583], [0.500, 0.249, 0.249], [0.500, 0.751, 0.000], [0.500, 0.000, 0.751], [0.000, 0.000, 0.000], [0.500, 0.667, 0.333], [0.500, 0.333, 0.667]]
}



[3]
{
  "formula": "Gd2AgHg",
  "functional": "PBEsol",
  "state": "optimized geometry",
  "e_tot_ev_per_atom": -8.6303,
  "space_group": "Fm-3m, No. 225",
  "formation_enthalpy_0k_ev_per_atom": -0.436,
  "lattice": [[-2.329, -3.570, 2.890], [2.762, -3.781, 2.143], [0.744, -0.075, 5.096]],
  "species": ["Gd", "Gd", "Hg", "Ag"],
  "fractional_positions": [[0.250, 0.250, 0.250], [0.750, 0.750, 0.750], [0.000, 0.000, 0.000], [0.500, 0.500, 0.500]]
}



[4]
{
  "formula": "GdLuAg2",
  "functional": "PBEsol",
  "state": "optimized geometry",
  "e_tot_ev_per_atom": -6.8093,
  "space_group": "Fm-3m, No. 225",
  "formation_enthalpy_0k_ev_per_atom": -0.324,
  "lattice": [[5.021, 0.000, 0.000], [2.511, 4.349, 0.000], [2.511, 1.450, 4.100]],
  "species": ["Gd", "Lu", "Ag", "Ag"],
  "fractional_positions": [[0.500, 0.500, 0.500], [0.000, 0.000, 0.000], [0.750, 0.750, 0.750], [0.250, 0.250, 0.250]]
}



[5]
{
  "formula": "GdMgAg2",
  "functional": "PBEsol",
  "state": "optimized geometry",
  "e_tot_ev_per_atom": -5.9843,
  "space_group": "Fm-3m, No. 225",
  "formation_enthalpy_0k_ev_per_atom": -0.287,
  "lattice": [[-2.131, 2.380, -3.723], [0.655, -1.560, -4.605], [-3.715, -2.081, -2.437]],
  "species": ["Mg", "Gd", "Ag", "Ag"],
  "fractional_positions": [[0.500, 0.500, 0.500], [0.000, 0.000, 0.000], [0.750, 0.750, 0.750], [0.250, 0.250, 0.250]]
}



[6]
{
  "formula": "GdAgSe2",
  "functional": "PBEsol",
  "state": "optimized geometry",
  "formation_energy_uncorrected_ev_per_atom": -1.189,
  "e_tot_ev_per_atom": -7.5536,
  "space_group": "P-3m1, No. 164",
  "lattice": [[-2.860, -2.494, 1.385], [0.568, 0.411, -3.978], [4.339, -4.913, 0.113]],
  "species": ["Gd", "Se", "Se", "Ag"],
  "fractional_positions": [[0.000, 0.000, 0.000], [0.333, 0.667, 0.255], [0.667, 0.333, 0.745], [0.000, 0.000, 0.500]]
}



[7]
{
  "formula": "SmGdAg2",
  "functional": "PBEsol",
  "state": "optimized geometry",
  "e_tot_ev_per_atom": -6.8284,
  "space_group": "Fm-3m, No. 225",
  "formation_enthalpy_0k_ev_per_atom": -0.288,
  "lattice": [[-1.613, 2.248, -4.301], [2.734, -0.445, -4.299], [-1.760, -2.845, -3.867]],
  "species": ["Gd", "Sm", "Ag", "Ag"],
  "fractional_positions": [[0.000, 0.000, 0.000], [0.500, 0.500, 0.500], [0.250, 0.250, 0.250], [0.750, 0.750, 0.750]]
}



[8]
{
  "formula": "GdAgSn2",
  "functional": "PBEsol",
  "state": "optimized geometry",
  "e_tot_ev_per_atom": -7.0718,
  "space_group": "P4/mmm, No. 123",
  "formation_enthalpy_0k_ev_per_atom": -0.502,
  "lattice": [[-1.035, -0.427, 4.177], [1.212, -4.412, -0.151], [4.277, 1.134, 1.175]],
  "species": ["Gd", "Sn", "Sn", "Ag"],
  "fractional_positions": [[0.000, 0.000, 0.000], [0.500, 0.000, 0.500], [0.500, 0.500, 0.000], [0.000, 0.500, 0.500]]
}



[9]
{
  "formula": "Gd2TlAg",
  "functional": "PBEsol",
  "state": "optimized geometry",
  "e_tot_ev_per_atom": -9.0884,
  "space_group": "Fm-3m, No. 225",
  "formation_enthalpy_0k_ev_per_atom": -0.379,
  "lattice": [[-3.405, -3.793, -1.089], [1.697, -4.591, -1.792], [-0.244, -4.233, 3.032]],
  "species": ["Tl", "Gd", "Gd", "Ag"],
  "fractional_positions": [[0.000, 0.000, 0.000], [0.250, 0.250, 0.250], [0.750, 0.750, 0.750], [0.500, 0.500, 0.500]]
}



[10]
{
  "formula": "Gd2ZnAg",
  "functional": "PBEsol",
  "state": "optimized geometry",
  "e_tot_ev_per_atom": -8.7526,
  "space_group": "Fm-3m, No. 225",
  "formation_enthalpy_0k_ev_per_atom": -0.305,
  "lattice": [[5.051, 0.000, 0.000], [2.525, 4.374, 0.000], [2.525, 1.458, 4.124]],
  "species": ["Zn", "Gd", "Gd", "Ag"],
  "fractional_positions": [[0.000, 0.000, 0.000], [0.250, 0.250, 0.250], [0.750, 0.750, 0.750], [0.500, 0.500, 0.500]]
}



[11]
{
  "formula": "Gd2ZnAg",
  "functional": "PBEsol",
  "state": "optimized geometry",
  "e_tot_ev_per_atom": -8.7741,
  "space_group": "P4/mmm, No. 123",
  "formation_enthalpy_0k_ev_per_atom": -0.326,
  "lattice": [[-1.982, -2.314, -1.872], [2.792, -0.668, -2.132], [2.036, -5.228, 4.305]],
  "species": ["Zn", "Gd", "Gd", "Ag"],
  "fractional_positions": [[0.500, 0.500, 0.500], [0.000, 0.000, 0.742], [0.000, 0.000, 0.258], [0.500, 0.500, 0.000]]
}



[12]
{
  "formula": "Ag3Ge",
  "functional": "PBEsol",
  "state": "optimized geometry",
  "e_tot_ev_per_atom": -3.6301,
  "space_group": "Fm-3m, No. 225",
  "formation_enthalpy_0k_ev_per_atom": 0.088,
  "lattice": [[-0.501, 3.849, -2.406], [-4.139, 1.867, -0.486], [-1.006, 3.911, 2.132]],
  "species": ["Ge", "Ag", "Ag", "Ag"],
  "fractional_positions": [[0.000, 0.000, 0.000], [0.250, 0.250, 0.250], [0.750, 0.750, 0.750], [0.500, 0.500, 0.500]]
}



[13]
{
  "formula": "Ag3Ge",
  "functional": "PBEsol",
  "state": "optimized geometry",
  "e_tot_ev_per_atom": -3.6443,
  "space_group": "P-6m2, No. 187",
  "formation_enthalpy_0k_ev_per_atom": 0.074,
  "lattice": [[2.901, 0.000, 0.000], [-1.451, 2.512, 0.000], [0.000, 0.000, 9.259]],
  "species": ["Ge", "Ag", "Ag", "Ag"],
  "fractional_positions": [[0.000, 0.000, 0.500], [0.000, 0.000, 0.000], [0.667, 0.333, 0.251], [0.667, 0.333, 0.749]]
}



[14]
{
  "formula": "Ag3Ge",
  "functional": "PBEsol",
  "state": "optimized geometry",
  "e_tot_ev_per_atom": -3.6380,
  "space_group": "Pm-3m, No. 221",
  "formation_enthalpy_0k_ev_per_atom": 0.080,
  "lattice": [[4.058, 0.000, 0.000], [0.000, 4.058, 0.000], [0.000, 0.000, 4.058]],
  "species": ["Ge", "Ag", "Ag", "Ag"],
  "fractional_positions": [[0.000, 0.000, 0.000], [0.500, 0.000, 0.500], [0.500, 0.500, 0.000], [0.000, 0.500, 0.500]]
}



[15]
{
  "formula": "Ag2Ge2H",
  "functional": "PBEsol",
  "state": "optimized geometry",
  "e_tot_ev_per_atom": -3.2743,
  "space_group": "I4/mmm, No. 139",
  "lattice": [[-2.486, 2.304, -1.011], [-1.071, -2.255, -2.505], [-2.707, -2.889, 6.256]],
  "species": ["H", "Ge", "Ge", "Ag", "Ag"],
  "fractional_positions": [[0.000, 0.000, 0.000], [0.250, 0.750, 0.500], [0.750, 0.250, 0.500], [0.407, 0.407, 0.814], [0.593, 0.593, 0.186]]
}



[16]
{
  "formula": "AgGeH2",
  "functional": "PBEsol",
  "state": "optimized geometry",
  "e_tot_ev_per_atom": -3.0061,
  "space_group": "Fm-3m, No. 225",
  "lattice": [[3.945, 0.000, 0.000], [1.972, 3.416, 0.000], [1.972, 1.139, 3.221]],
  "species": ["H", "H", "Ge", "Ag"],
  "fractional_positions": [[0.250, 0.250, 0.250], [0.750, 0.750, 0.750], [0.000, 0.000, 0.000], [0.500, 0.500, 0.500]]
}



[17]
{
  "formula": "AgGeH3",
  "functional": "PBEsol",
  "state": "optimized geometry",
  "e_tot_ev_per_atom": -3.0290,
  "space_group": "Pm-3m, No. 221",
  "lattice": [[-1.934, 1.430, 2.825], [-2.027, -3.102, 0.183], [2.433, -1.448, 2.398]],
  "species": ["H", "H", "H", "Ge", "Ag"],
  "fractional_positions": [[0.000, 0.500, 0.000], [0.000, 0.000, 0.500], [0.500, 0.000, 0.000], [0.500, 0.500, 0.500], [0.000, 0.000, 0.000]]
}



[18]
{
  "formula": "HfZnAg2Ge",
  "functional": "PBEsol",
  "state": "optimized geometry",
  "e_tot_ev_per_atom": -4.0951,
  "space_group": "P4/mmm, No. 123",
  "formation_enthalpy_0k_ev_per_atom": 0.634,
  "lattice": [[-1.216, 4.115, -1.588], [-3.116, -1.967, -2.711], [-3.414, 0.395, 3.638]],
  "species": ["Ge", "Hf", "Zn", "Ag", "Ag"],
  "fractional_positions": [[0.500, 0.500, 0.500], [0.000, 0.000, 0.500], [0.000, 0.000, 0.000], [0.000, 0.500, 0.000], [0.500, 0.000, 0.000]]
}



[19]
{
  "formula": "AgHgGe3",
  "functional": "PBEsol",
  "state": "optimized geometry",
  "e_tot_ev_per_atom": -3.0717,
  "space_group": "Pm-3m, No. 221",
  "formation_enthalpy_0k_ev_per_atom": 0.667,
  "lattice": [[4.940, 0.000, 0.000], [0.000, 4.940, 0.000], [0.000, 0.000, 4.940]],
  "species": ["Ge", "Ge", "Ge", "Hg", "Ag"],
  "fractional_positions": [[0.000, 0.500, 0.000], [0.000, 0.000, 0.500], [0.500, 0.000, 0.000], [0.500, 0.500, 0.500], [0.000, 0.000, 0.000]]
}



[20]
{
  "formula": "KAgHgGe2",
  "functional": "PBEsol",
  "state": "optimized geometry",
  "e_tot_ev_per_atom": -1.4960,
  "space_group": "P4/mmm, No. 123",
  "formation_enthalpy_0k_ev_per_atom": 1.482,
  "lattice": [[-0.655, -2.181, 4.689], [-0.676, -4.891, -2.369], [5.391, -0.906, 0.332]],
  "species": ["K", "Ge", "Ge", "Hg", "Ag"],
  "fractional_positions": [[0.000, 0.000, 0.000], [0.000, 0.000, 0.500], [0.000, 0.500, 0.000], [0.500, 0.500, 0.500], [0.500, 0.000, 0.000]]
}